Record 1
VASP calculation (PBE-GGA) on crystalline SrMgTl2Rh at its relaxed geometry.

Output
VASP energy	-16.37	eV per cell
total moment	0.0	μB per formula unit
formation energy from the elements	-0.2011	eV/atom

Structure (extended XYZ):
```
5
Lattice="5.301 0.000 0.000 0.000 5.301 0.000 0.000 0.000 5.009" Properties=species:S:1:pos:R:3 pbc="T T T"
Sr 0.000 0.000 0.000
Mg 2.650 2.650 0.000
Tl 0.000 2.650 2.504
Tl 2.650 0.000 2.504
Rh 2.650 2.650 2.504
```

---

Record 2
VASP calculation (PBE-GGA) on crystalline LaGa2GeF at its relaxed geometry.

Output
VASP energy	-19.56	eV per cell
total moment	0.0	μB per formula unit
raw formation energy	-0.42	eV per atom

Structure (extended XYZ):
```
5
Lattice="5.954 0.000 0.000 0.000 5.954 0.000 0.000 0.000 4.391" Properties=species:S:1:pos:R:3 pbc="T T T"
La 0.000 0.000 0.000
Ga 0.000 2.977 0.000
Ga 2.977 0.000 0.000
Ge 2.977 2.977 2.195
F 0.000 0.000 2.195
```

---

Record 3
VASP calculation (PBE-GGA) on crystalline LiNi8Rh2 at its relaxed geometry.

Output
VASP energy	-61.38	eV per cell
total moment	6.8	μB per formula unit
formation energy from the elements	0.1351	eV/atom

Structure (extended XYZ):
```
11
Lattice="5.784 -2.034 0.000 5.784 2.034 0.000 -3.957 0.000 5.626" Properties=species:S:1:pos:R:3 pbc="T T T"
Li 0.000 0.000 0.000
Ni -0.857 0.000 2.205
Ni -1.380 0.000 5.066
Ni 0.851 0.000 3.878
Ni 4.663 0.000 0.712
Ni 2.948 0.000 4.914
Ni 6.760 0.000 1.748
Ni 8.992 0.000 0.560
Ni 8.468 0.000 3.421
Rh 2.569 0.000 2.019
Rh 5.042 0.000 3.606
```

---

Record 4
VASP calculation (PBE-GGA) on crystalline Th11In9Pd4 at its relaxed geometry.

Output
VASP energy	-138.27	eV per cell
total moment	0.0	μB per formula unit
formation energy from the elements	-0.4682	eV/atom

Structure (extended XYZ):
```
24
Lattice="7.522 -11.314 0.000 7.522 11.314 0.000 0.000 0.000 3.804" Properties=species:S:1:pos:R:3 pbc="T T T"
Th 0.000 0.000 0.000
Th 3.574 3.932 0.000
Th 7.522 7.789 0.000
Th 4.650 0.000 0.000
Th 7.522 2.895 0.000
Th 3.574 -3.932 0.000
Th 11.471 3.932 0.000
Th 7.522 -2.895 0.000
Th 10.395 0.000 0.000
Th 7.522 -7.789 0.000
Th 11.471 -3.932 0.000
In 2.210 1.606 1.902
In 5.977 5.356 1.902
In 2.210 -1.606 1.902
In 9.068 5.356 1.902
In 7.522 0.000 1.902
In 5.977 -5.356 1.902
In 12.834 1.606 1.902
In 9.068 -5.356 1.902
In 12.834 -1.606 1.902
Pd 5.254 2.278 1.902
Pd 5.254 -2.278 1.902
Pd 9.790 2.278 1.902
Pd 9.790 -2.278 1.902
```

---

Record 5
VASP calculation (PBE-GGA) on crystalline KAuN2 at its relaxed geometry.

Output
VASP energy	-42.95	eV per cell
total moment	0.0	μB per formula unit
raw formation energy	-0.11	eV per atom
E above lowest polymorph	0.000	eV per atom

Structure (extended XYZ):
```
8
Lattice="5.106 0.000 0.000 0.000 5.375 0.000 -2.546 0.000 7.942" Properties=species:S:1:pos:R:3 pbc="T T T"
K 0.000 1.344 1.809
K 2.560 4.031 6.133
Au 2.553 0.000 0.000
Au 2.553 2.687 0.000
N -0.563 4.031 3.877
N 0.571 4.031 3.881
N 1.989 1.344 4.061
N 3.123 1.344 4.065
```

---

Record 6
VASP calculation (PBE-GGA) on crystalline MoW2Br at its relaxed geometry.

Output
VASP energy	-34.78	eV per cell
total moment	0.0	μB per formula unit
raw formation energy	0.91	eV per atom
E above lowest polymorph	0.374	eV per atom

Structure (extended XYZ):
```
4
Lattice="4.957 -1.525 0.000 4.957 1.525 0.000 -0.422 0.000 4.564" Properties=species:S:1:pos:R:3 pbc="T T T"
Mo 0.000 0.000 0.000
W 2.358 0.000 3.572
W 7.135 0.000 0.992
Br 4.747 0.000 2.282
```

---

Record 7
VASP calculation (PBE-GGA) on crystalline ZnGeO3 at its relaxed geometry.

Output
VASP energy	-28.38	eV per cell
total moment	0.0	μB per formula unit
raw formation energy	-1.52	eV per atom

Structure (extended XYZ):
```
5
Lattice="3.050 0.000 0.000 0.000 2.812 4.328 0.000 -2.812 4.328" Properties=species:S:1:pos:R:3 pbc="T T T"
Zn 0.000 0.000 0.000
Ge 1.525 0.000 5.475
O 0.000 0.000 6.502
O 1.525 -1.485 4.566
O 1.525 1.485 4.566
```

---

Record 8
VASP calculation (PBE-GGA) on crystalline Mo2RuRh at its relaxed geometry.

Output
VASP energy	-37.99	eV per cell
total moment	0.0	μB per formula unit
formation energy from the elements	0.0759	eV/atom
E above lowest polymorph	0.158	eV per atom

Structure (extended XYZ):
```
4
Lattice="1.382 0.798 9.126 -1.382 0.798 9.126 0.000 -1.596 9.126" Properties=species:S:1:pos:R:3 pbc="T T T"
Mo 0.000 0.000 0.000
Mo 0.000 0.000 6.629
Ru 0.000 0.000 13.613
Rh 0.000 0.000 20.399
```